Entry from Alexandria: a relaxed structure of BeVO3 (GGA+U).

a = 3.749 Å, b = 3.749 Å, c = 3.749 Å
α = 90.00°, β = 90.00°, γ = 90.00°
Fractional coordinates of all 5 atoms:
Be (0.000, 0.000, 0.000)
V (0.500, 0.500, 0.500)
O (0.000, 0.500, 0.500)
O (0.500, 0.000, 0.500)
O (0.500, 0.500, 0.000)

Output
- electronic total energy (eV per cell) = -30.94